The following is a PBE-GGA calculation of a relaxed Tl3GeS crystal, from Alexandria via LeMat-Bulk.

abc: 5.571 5.571 5.571
angles: 90.00 90.00 90.00
Atoms (fractional coordinates):
S: 0.000 0.000 0.000
Tl: 0.000 0.500 0.000
Tl: 0.000 0.000 0.500
Tl: 0.500 0.000 0.000
Ge: 0.500 0.500 0.500

Output
Uncorrected energy, eV/atom: -2.70
Crystal system: cubic
Fermi-level density of states, states/eV per cell: 4.6
Symmetry: Pm-3m (221)
ΔE to the lowest computed polymorph, meV per atom: 153
Raw formation energy, eV per atom: 0.47